w:
Entry from Alexandria via LeMat-Bulk: crystalline YNi3Au at its relaxed geometry (PBE).

Unit cell a=4.660 b=4.660 c=4.660 alpha=90.00 beta=90.00 gamma=90.00
Positions (direct):
1 Ni 0.500 0.000 0.000
2 Au 0.000 0.000 0.000
3 Y 0.500 0.500 0.500
4 Ni 0.000 0.500 0.000
5 Ni 0.000 0.000 0.500

Summary:
Size of the total moment: 0.000 μB per formula unit



x:
Entry from Alexandria via LeMat-Bulk: crystalline YNi3Au at its relaxed geometry (PBE).

Unit cell a=4.620 b=4.620 c=4.620 alpha=90.00 beta=90.00 gamma=90.00
Positions (direct):
1 Ni 0.500 0.000 0.000
2 Ni 0.000 0.000 0.500
3 Ni 0.000 0.500 0.000
4 Au 0.500 0.500 0.500
5 Y 0.000 0.000 0.000

Summary:
Size of the total moment: 0.000 μB per formula unit



Stability ranking, top and bottom: w is the most stable and x is the least stable.



w:
Entry from Alexandria via LeMat-Bulk: crystalline Y2Ni2Au at its relaxed geometry (PBE).

Unit cell a=7.194 b=7.194 c=3.725 alpha=90.00 beta=90.00 gamma=90.00
Positions (direct):
1 Ni 0.382 0.882 0.000
2 Y 0.821 0.321 0.500
3 Ni 0.118 0.382 0.000
4 Au 0.000 0.000 0.000
5 Y 0.679 0.821 0.500
6 Ni 0.618 0.118 0.000
7 Y 0.321 0.179 0.500
8 Y 0.179 0.679 0.500
9 Ni 0.882 0.618 0.000
10 Au 0.500 0.500 0.000

Summary:
Size of the total moment: 0.000 μB per formula unit



x:
Entry from Alexandria via LeMat-Bulk: crystalline Y2Ni2Au at its relaxed geometry (PBE).

Unit cell a=3.589 b=3.589 c=8.262 alpha=77.46 beta=77.46 gamma=90.00
Positions (direct):
1 Y 0.615 0.615 0.769
2 Au 0.000 0.000 0.000
3 Ni 0.250 0.750 0.500
4 Y 0.385 0.385 0.231
5 Ni 0.750 0.250 0.500

Summary:
Size of the total moment: 0.000 μB per formula unit



Stability ranking, top and bottom: w is the most stable and x is the least stable.



w:
Entry from Alexandria via LeMat-Bulk: crystalline YNiAu3 at its relaxed geometry (PBE).

Unit cell a=4.787 b=4.787 c=4.787 alpha=90.00 beta=90.00 gamma=90.00
Positions (direct):
1 Au 0.000 0.500 0.000
2 Au 0.500 0.000 0.000
3 Y 0.500 0.500 0.500
4 Au 0.000 0.000 0.500
5 Ni 0.000 0.000 0.000

Summary:
Size of the total moment: 0.000 μB per formula unit



x:
Entry from Alexandria via LeMat-Bulk: crystalline YNiAu3 at its relaxed geometry (PBE).

Unit cell a=5.415 b=5.415 c=5.415 alpha=90.00 beta=90.00 gamma=90.00
Each line ends with the local moment (μB).
Positions (direct):
1 Au 0.000 0.000 0.500  0.01
2 Au 0.500 0.000 0.000  0.01
3 Y 0.000 0.000 0.000  -0.01
4 Au 0.000 0.500 0.000  0.00
5 Ni 0.500 0.500 0.500  0.98

Summary:
Size of the total moment: 1.036 μB per formula unit



Stability ranking, top and bottom: w is the most stable and x is the least stable.



w:
Entry from Alexandria via LeMat-Bulk: crystalline ZnNiAu at its relaxed geometry (PBE).

Unit cell a=5.508 b=3.820 c=8.526 alpha=90.00 beta=106.27 gamma=90.00
Positions (direct):
1 Zn 0.262 0.000 0.191
2 Au 0.420 0.500 0.021
3 Zn 0.937 0.000 0.524
4 Ni 0.106 0.000 0.844
5 Ni 0.802 0.000 0.189
6 Ni 0.106 0.500 0.344
7 Au 0.633 0.000 0.856
8 Au 0.420 0.000 0.521
9 Ni 0.802 0.500 0.689
10 Zn 0.262 0.500 0.691
11 Zn 0.937 0.500 0.024
12 Au 0.633 0.500 0.356

Summary:
Size of the total moment: 0.000 μB per formula unit



x:
Entry from Alexandria via LeMat-Bulk: crystalline ZnNiAu at its relaxed geometry (PBE).

Unit cell a=4.234 b=4.234 c=5.540 alpha=90.00 beta=90.00 gamma=120.00
Positions (direct):
1 Ni 0.333 0.667 0.770
2 Ni 0.667 0.333 0.230
3 Au 0.000 0.000 0.500
4 Au 0.000 0.000 0.000
5 Zn 0.667 0.333 0.732
6 Zn 0.333 0.667 0.268

Summary:
Size of the total moment: 0.000 μB per formula unit



y:
Entry from Alexandria via LeMat-Bulk: crystalline ZnNiAu at its relaxed geometry (PBE).

Unit cell a=5.621 b=5.621 c=2.857 alpha=75.28 beta=75.27 gamma=29.45
Positions (direct):
1 Au 0.997 0.997 0.003
2 Zn 0.681 0.681 0.319
3 Ni 0.322 0.322 0.678

Summary:
Size of the total moment: 0.000 μB per formula unit



Stability ranking, top and bottom: w is the most stable and x is the least stable.



w:
Entry from Alexandria via LeMat-Bulk: crystalline ZnNiAu at its relaxed geometry (PBE).

Unit cell a=5.438 b=3.897 c=8.513 alpha=90.00 beta=107.71 gamma=90.00
Positions (direct):
1 Ni 0.611 0.000 0.902
2 Au 0.784 0.000 0.244
3 Ni 0.611 0.500 0.402
4 Ni 0.273 0.000 0.231
5 Au 0.427 0.500 0.062
6 Zn 0.936 0.000 0.570
7 Ni 0.273 0.500 0.731
8 Au 0.427 0.000 0.562
9 Zn 0.936 0.500 0.070
10 Zn 0.129 0.000 0.896
11 Zn 0.129 0.500 0.396
12 Au 0.784 0.500 0.744

Summary:
Size of the total moment: 0.000 μB per formula unit



x:
Entry from Alexandria via LeMat-Bulk: crystalline ZnNiAu at its relaxed geometry (PBE).

Unit cell a=3.809 b=3.908 c=6.219 alpha=90.00 beta=110.33 gamma=90.00
Positions (direct):
1 Au 0.933 0.250 0.821
2 Ni 0.751 0.750 0.503
3 Au 0.067 0.750 0.179
4 Ni 0.249 0.250 0.497
5 Zn 0.409 0.750 0.787
6 Zn 0.591 0.250 0.213

Summary:
Size of the total moment: 0.000 μB per formula unit



Stability ranking, top and bottom: x is the most stable and w is the least stable.



w:
Entry from Alexandria via LeMat-Bulk: crystalline ZnNiAu at its relaxed geometry (PBE).

Unit cell a=4.890 b=4.890 c=4.890 alpha=146.05 beta=138.65 gamma=54.54
Positions (direct):
1 Zn 0.681 0.681 0.000
2 Au 0.999 0.999 0.000
3 Ni 0.320 0.320 0.000

Summary:
Size of the total moment: 0.000 μB per formula unit



x:
Entry from Alexandria via LeMat-Bulk: crystalline ZnNiAu at its relaxed geometry (PBE).

Unit cell a=5.638 b=3.748 c=8.473 alpha=90.00 beta=105.91 gamma=90.00
Positions (direct):
1 Zn 0.186 0.500 0.330
2 Zn 0.814 0.000 0.170
3 Zn 0.814 0.500 0.670
4 Ni 0.665 0.000 0.827
5 Ni 0.665 0.500 0.327
6 Au 0.500 0.500 0.000
7 Zn 0.186 0.000 0.830
8 Au 0.000 0.000 0.500
9 Au 0.000 0.500 0.000
10 Ni 0.335 0.000 0.173
11 Au 0.500 0.000 0.500
12 Ni 0.335 0.500 0.673

Summary:
Size of the total moment: 0.000 μB per formula unit



Stability ranking, top and bottom: x is the most stable and w is the least stable.



w:
Entry from Alexandria via LeMat-Bulk: crystalline ZnNiAu at its relaxed geometry (PBE).

Unit cell a=3.825 b=3.825 c=6.158 alpha=83.34 beta=96.66 gamma=90.37
Positions (direct):
1 Au 0.695 0.305 0.686
2 Zn 0.804 0.196 0.274
3 Zn 0.196 0.804 0.726
4 Au 0.305 0.695 0.314
5 Ni 0.749 0.749 0.000
6 Ni 0.251 0.251 0.000

Summary:
Size of the total moment: 0.000 μB per formula unit



x:
Entry from Alexandria via LeMat-Bulk: crystalline ZnNiAu at its relaxed geometry (PBE).

Unit cell a=4.131 b=4.131 c=4.131 alpha=60.00 beta=60.00 gamma=60.00
Positions (direct):
1 Ni 0.750 0.750 0.750
2 Au 0.500 0.500 0.500
3 Zn 0.000 0.000 0.000

Summary:
Size of the total moment: 0.000 μB per formula unit



y:
Entry from Alexandria via LeMat-Bulk: crystalline ZnNiAu at its relaxed geometry (PBE).

Unit cell a=5.492 b=3.845 c=8.522 alpha=90.00 beta=107.17 gamma=90.00
Positions (direct):
1 Au 0.716 0.000 0.643
2 Zn 0.252 0.000 0.671
3 Zn 0.252 0.500 0.171
4 Ni 0.550 0.500 0.817
5 Ni 0.390 0.500 0.494
6 Zn 0.858 0.000 0.974
7 Au 0.074 0.000 0.335
8 Au 0.074 0.500 0.835
9 Ni 0.390 0.000 0.994
10 Ni 0.550 0.000 0.317
11 Au 0.716 0.500 0.143
12 Zn 0.858 0.500 0.474

Summary:
Size of the total moment: 0.000 μB per formula unit



Stability ranking, top and bottom: y is the most stable and x is the least stable.



w:
Entry from Alexandria via LeMat-Bulk: crystalline ZnNiAu at its relaxed geometry (PBE).

Unit cell a=6.706 b=2.799 c=9.727 alpha=90.00 beta=110.20 gamma=90.00
Positions (direct):
1 Ni 0.033 0.500 0.650
2 Zn 0.243 0.500 0.032
3 Ni 0.967 0.500 0.350
4 Zn 0.243 0.000 0.532
5 Zn 0.757 0.000 0.468
6 Au 0.629 0.000 0.167
7 Ni 0.967 0.000 0.850
8 Ni 0.033 0.000 0.150
9 Au 0.371 0.500 0.333
10 Au 0.629 0.500 0.667
11 Au 0.371 0.000 0.833
12 Zn 0.757 0.500 0.968

Summary:
Size of the total moment: 0.000 μB per formula unit



x:
Entry from Alexandria via LeMat-Bulk: crystalline ZnNiAu at its relaxed geometry (PBE).

Unit cell a=4.351 b=2.744 c=8.959 alpha=72.13 beta=84.53 gamma=89.99
Positions (direct):
1 Au 0.510 0.768 0.788
2 Ni 0.506 0.006 0.051
3 Zn 0.004 0.540 0.018
4 Ni 0.632 0.275 0.280
5 Au 0.122 0.733 0.322
6 Zn 0.588 0.529 0.526

Summary:
Size of the total moment: 0.000 μB per formula unit



y:
Entry from Alexandria via LeMat-Bulk: crystalline ZnNiAu at its relaxed geometry (PBE).

Unit cell a=5.480 b=8.167 c=4.712 alpha=90.00 beta=125.40 gamma=90.00
Positions (direct):
1 Zn 0.750 0.756 0.750
2 Ni 0.250 0.923 0.250
3 Ni 0.750 0.077 0.750
4 Zn 0.250 0.744 0.750
5 Ni 0.750 0.577 0.250
6 Au 0.750 0.906 0.250
7 Zn 0.250 0.244 0.250
8 Au 0.250 0.594 0.250
9 Au 0.250 0.094 0.750
10 Ni 0.250 0.423 0.750
11 Au 0.750 0.406 0.750
12 Zn 0.750 0.256 0.250

Summary:
Size of the total moment: 0.000 μB per formula unit



Stability ranking, top and bottom: w is the most stable and x is the least stable.



w:
Entry from Alexandria via LeMat-Bulk: crystalline ZnNiAu4 at its relaxed geometry (PBE).

Unit cell a=4.253 b=4.271 c=7.447 alpha=73.72 beta=73.41 gamma=60.14
Positions (direct):
1 Au 0.122 0.122 0.633
2 Au 0.373 0.373 0.880
3 Au 0.878 0.878 0.367
4 Au 0.627 0.627 0.120
5 Ni 0.000 0.000 0.000
6 Zn 0.500 0.500 0.500

Summary:
Size of the total moment: 0.000 μB per formula unit



x:
Entry from Alexandria via LeMat-Bulk: crystalline ZnNiAu4 at its relaxed geometry (PBE).

Unit cell a=5.423 b=5.423 c=5.423 alpha=60.00 beta=60.00 gamma=60.00
Each line ends with the local moment (μB).
Positions (direct):
1 Ni 0.750 0.750 0.750  0.32
2 Au 0.375 0.375 0.875  0.00
3 Au 0.375 0.875 0.375  0.00
4 Zn 0.000 0.000 0.000  0.00
5 Au 0.875 0.375 0.375  0.00
6 Au 0.375 0.375 0.375  0.00

Summary:
Size of the total moment: 0.270 μB per formula unit



Stability ranking, top and bottom: w is the most stable and x is the least stable.



w:
Entry from Alexandria via LeMat-Bulk: crystalline Zn4NiAu at its relaxed geometry (PBE).

Unit cell a=4.970 b=4.970 c=4.970 alpha=60.00 beta=60.00 gamma=60.00
Positions (direct):
1 Zn 0.375 0.375 0.375
2 Ni 0.000 0.000 0.000
3 Au 0.750 0.750 0.750
4 Zn 0.876 0.375 0.375
5 Zn 0.375 0.375 0.876
6 Zn 0.375 0.876 0.375

Summary:
Size of the total moment: 0.000 μB per formula unit



x:
Entry from Alexandria via LeMat-Bulk: crystalline Zn4NiAu at its relaxed geometry (PBE).

Unit cell a=4.782 b=6.968 c=6.281 alpha=118.98 beta=74.13 gamma=107.54
Positions (direct):
1 Ni 0.250 0.250 0.000
2 Au 0.500 0.000 0.500
3 Zn 0.088 0.075 0.311
4 Zn 0.179 0.657 0.151
5 Zn 0.679 0.157 0.151
6 Zn 0.912 0.925 0.689
7 Zn 0.412 0.425 0.689
8 Au 0.000 0.500 0.500
9 Zn 0.821 0.343 0.849
10 Zn 0.321 0.843 0.849
11 Ni 0.750 0.750 0.000
12 Zn 0.588 0.575 0.311

Summary:
Size of the total moment: 0.000 μB per formula unit



y:
Entry from Alexandria via LeMat-Bulk: crystalline Zn4NiAu at its relaxed geometry (PBE).

Unit cell a=2.706 b=4.243 c=7.562 alpha=90.00 beta=90.00 gamma=90.00
Positions (direct):
1 Au 0.998 0.497 0.998
2 Zn 0.499 0.997 0.178
3 Zn 0.498 0.497 0.343
4 Zn 0.499 0.497 0.654
5 Ni 0.999 0.997 0.498
6 Zn 0.498 0.997 0.818

Summary:
Size of the total moment: 0.000 μB per formula unit



Stability ranking, top and bottom: x is the most stable and w is the least stable.